# K2H3Cl | Alexandria | PBE-GGA | optimized geometry
data_K2H3Cl
_symmetry_space_group_name_H-M 'P 1'
_symmetry_Int_Tables_number 1
_cell_length_a 6.363
_cell_length_b 6.363
_cell_length_c 7.448
_cell_angle_alpha 112.59
_cell_angle_beta 112.59
_cell_angle_gamma 83.90
loop_
_symmetry_equiv_pos_as_xyz
'x,y,z'
loop_
_atom_site_label
_atom_site_fract_x
_atom_site_fract_y
_atom_site_fract_z
K1 0.108 0.359 0.244
K2 0.359 0.108 0.744
K3 0.641 0.892 0.256
K4 0.892 0.641 0.756
H1 0.257 0.484 0.661
H2 0.387 0.613 0.750
H3 0.484 0.257 0.161
H4 0.516 0.743 0.839
H5 0.613 0.387 0.250
H6 0.743 0.516 0.339
Cl1 0.145 0.855 0.250
Cl2 0.855 0.145 0.750
# Total energy = -35.961 eV/cell
# Space-group type = C2/c (15)

# ScBeCuSi2 | Alexandria | PBE-GGA | optimized geometry
data_ScBeCuSi2
_symmetry_space_group_name_H-M 'P 1'
_symmetry_Int_Tables_number 1
_cell_length_a 3.757
_cell_length_b 3.757
_cell_length_c 10.001
_cell_angle_alpha 90.00
_cell_angle_beta 90.00
_cell_angle_gamma 90.00
loop_
_symmetry_equiv_pos_as_xyz
'x,y,z'
loop_
_atom_site_label
_atom_site_fract_x
_atom_site_fract_y
_atom_site_fract_z
Sc1 0.000 0.000 0.000
Sc2 0.500 0.500 0.500
Be1 0.000 0.500 0.750
Be2 0.500 0.000 0.250
Cu1 0.000 0.500 0.250
Cu2 0.500 0.000 0.750
Si1 0.000 0.000 0.386
Si2 0.000 0.000 0.614
Si3 0.500 0.500 0.114
Si4 0.500 0.500 0.886
# Formation energy (no corrections) = -392.3 meV per atom
# Space-group type = I-4m2 (119)

# Dy4Bi3Te | Alexandria | PBE-GGA | optimized geometry
data_Dy4Bi3Te
_symmetry_space_group_name_H-M 'P 1'
_symmetry_Int_Tables_number 1
_cell_length_a 6.289
_cell_length_b 6.289
_cell_length_c 12.569
_cell_angle_alpha 90.00
_cell_angle_beta 90.00
_cell_angle_gamma 90.00
loop_
_symmetry_equiv_pos_as_xyz
'x,y,z'
loop_
_atom_site_label
_atom_site_fract_x
_atom_site_fract_y
_atom_site_fract_z
Dy1 0.000 0.000 0.249
Dy2 0.000 0.000 0.751
Dy3 0.000 0.500 0.000
Dy4 0.000 0.500 0.500
Dy5 0.500 0.000 0.000
Dy6 0.500 0.000 0.500
Dy7 0.500 0.500 0.251
Dy8 0.500 0.500 0.749
Bi1 0.000 0.000 0.000
Bi2 0.000 0.500 0.250
Bi3 0.000 0.500 0.750
Bi4 0.500 0.000 0.250
Bi5 0.500 0.000 0.750
Bi6 0.500 0.500 0.500
Te1 0.000 0.000 0.500
Te2 0.500 0.500 0.000
# Formation energy (no corrections) = -985.7 meV per atom
# Space-group type = I4/mmm (139)

# DyMgCd2 | Alexandria | PBE-GGA | optimized geometry
data_DyMgCd2
_symmetry_space_group_name_H-M 'P 1'
_symmetry_Int_Tables_number 1
_cell_length_a 7.200
_cell_length_b 7.200
_cell_length_c 7.200
_cell_angle_alpha 90.00
_cell_angle_beta 90.00
_cell_angle_gamma 90.00
loop_
_symmetry_equiv_pos_as_xyz
'x,y,z'
loop_
_atom_site_label
_atom_site_fract_x
_atom_site_fract_y
_atom_site_fract_z
Dy1 0.000 0.000 0.000
Dy2 0.000 0.500 0.500
Dy3 0.500 0.000 0.500
Dy4 0.500 0.500 0.000
Mg1 0.000 0.000 0.500
Mg2 0.000 0.500 0.000
Mg3 0.500 0.000 0.000
Mg4 0.500 0.500 0.500
Cd1 0.250 0.250 0.250
Cd2 0.250 0.250 0.750
Cd3 0.250 0.750 0.250
Cd4 0.250 0.750 0.750
Cd5 0.750 0.250 0.250
Cd6 0.750 0.250 0.750
Cd7 0.750 0.750 0.250
Cd8 0.750 0.750 0.750
# Relative energy among the computed polymorphs = 0 meV per atom
# Space-group type = Fm-3m (225)

Computed theoretical density, in the same sequence as the records: 1.51 4.09 9.38 7.32 Mg/m³.
Computed total magnetic moment, in the same sequence as the records: 0.000 0.000 0.000 0.000 μB per cell.